# PBEsol BeBiAsSe2, relaxed
data_BeBiAsSe2
_cell_length_a 4.691
_cell_length_b 4.691
_cell_length_c 4.484
_cell_angle_alpha 90.00
_cell_angle_beta 90.00
_cell_angle_gamma 90.00
_symmetry_space_group_name_H-M 'P 4/m m m'
_symmetry_Int_Tables_number 123
_symmetry_space_group_name_Hall '-P 4 2'
loop_
_atom_site_label
_atom_site_fract_x
_atom_site_fract_y
_atom_site_fract_z
_atom_site_occupancy
Be1 0.000 0.000 0.000 1
Bi1 0.500 0.500 0.500 1
As1 0.000 0.000 0.500 1
Se1 0.000 0.500 0.000 1
# Calculated volume, Å³/f.u.: 98.65
# E_form (uncorrected), eV per atom: 0.1316
# Calculated total energy, eV per atom: -4.087